Below is crystalline BeSiBr2 at its relaxed geometry, with properties calculated at the PBE level.

The structure belongs to space group P2/m (No. 10); the cell edges are 4.282, 3.762 and 7.276 Å and the angles 90.00°, 91.94° and 90.00°. The inequivalent atoms are Be at (0.000, 0.000, 0.000), Si at (0.500, 0.000, 0.000) and Br at (0.255, 0.500, 0.764).

For the volume, the calculation gives 117 Å³ per cell. Its total magnetization is 0.00 μB/f.u. The energy above the most stable polymorph in this dataset is 221 meV per atom.

---

Below is crystalline BeSiBr2 at its relaxed geometry, with properties calculated at the PBE level.

The structure belongs to space group F-43m (No. 216); the cell edges are 7.027, 7.027 and 7.027 Å and the angles 90.00°, 90.00° and 90.00°. The inequivalent atoms are Be at (0.000, 0.000, 0.000), Si at (0.250, 0.250, 0.250), Br at (0.000, 0.000, 0.500) and Br at (0.250, 0.250, 0.750).

The calculation puts the density of states at the Fermi level at 0.671 states/eV/atom. For the volume, the calculation gives 347 Å³ per cell. Its total magnetization is 0.00 μB/f.u. The energy above the most stable polymorph in this dataset is 1247 meV per atom.

---

Below is crystalline BeSiBr2 at its relaxed geometry, with properties calculated at the PBE level.

The structure belongs to space group I4/mmm (No. 139); the cell edges are 5.286, 5.286 and 6.341 Å and the angles 90.00°, 90.00° and 90.00°. The inequivalent atoms are Be at (0.000, 0.000, 0.000), Si at (0.000, 0.000, 0.500) and Br at (0.000, 0.500, 0.000).

The calculation puts the density of states at the Fermi level at 0.266 states/eV/atom. For the volume, the calculation gives 177 Å³ per cell. Its total magnetization is 0.00 μB/f.u. The energy above the most stable polymorph in this dataset is 759 meV per atom.

---

Below is crystalline BeSiBr2 at its relaxed geometry, with properties calculated at the PBE level.

The structure belongs to space group P4/mmm (No. 123); the cell edges are 3.141, 3.141 and 8.914 Å and the angles 90.00°, 90.00° and 90.00°. The inequivalent atoms are Be at (0.000, 0.000, 0.000), Si at (0.000, 0.000, 0.500) and Br at (0.500, 0.500, 0.174).

The calculation puts the density of states at the Fermi level at 0.317 states/eV/atom. For the volume, the calculation gives 88 Å³ per cell. Its total magnetization is 0.00 μB/f.u. The energy above the most stable polymorph in this dataset is 929 meV per atom.

---

Below is crystalline BeSiBr2 at its relaxed geometry, with properties calculated at the PBE level.

The structure belongs to space group Fm-3m (No. 225); the cell edges are 6.887, 6.887 and 6.887 Å and the angles 90.00°, 90.00° and 90.00°. The inequivalent atoms are Be at (0.000, 0.000, 0.000), Si at (0.000, 0.000, 0.500) and Br at (0.250, 0.250, 0.250).

The calculation puts the density of states at the Fermi level at 0.604 states/eV/atom. For the volume, the calculation gives 327 Å³ per cell. Its total magnetization is 0.00 μB/f.u. The energy above the most stable polymorph in this dataset is 1042 meV per atom.

---

Below is crystalline BeSiBr2 at its relaxed geometry, with properties calculated at the PBE level.

The structure belongs to space group Cmmm (No. 65); the cell edges are 6.705, 6.997 and 3.434 Å and the angles 90.00°, 90.00° and 90.00°. The inequivalent atoms are Be at (0.000, 0.000, 0.000), Si at (0.000, 0.500, 0.000) and Br at (0.250, 0.250, 0.500).

The calculation puts the density of states at the Fermi level at 0.678 states/eV/atom. For the volume, the calculation gives 161 Å³ per cell. Its total magnetization is 0.00 μB/f.u. The energy above the most stable polymorph in this dataset is 1053 meV per atom.

---

Below is crystalline BeSiBr2 at its relaxed geometry, with properties calculated at the PBE level.

The structure belongs to space group Cm (No. 8); the cell edges are 13.967, 3.303 and 5.831 Å and the angles 90.00°, 107.11° and 90.00°. The inequivalent atoms are Be at (0.000, 0.000, 0.000), Si at (0.362, 0.000, 0.834), Br at (0.106, 0.500, 0.114) and Br at (0.402, 0.000, 0.476).

For the volume, the calculation gives 257 Å³ per cell. Its total magnetization is 0.00 μB/f.u. The energy above the most stable polymorph in this dataset is 304 meV per atom.

---

Below is crystalline BeSiBr2 at its relaxed geometry, with properties calculated at the PBE level.

The structure belongs to space group Immm (No. 71); the cell edges are 3.247, 4.790 and 13.645 Å and the angles 90.00°, 90.00° and 90.00°. The inequivalent atoms are Be at (0.000, 0.000, 0.000), Si at (0.000, 0.000, 0.500) and Br at (0.000, 0.500, 0.374).

The calculation puts the density of states at the Fermi level at 0.487 states/eV/atom. For the volume, the calculation gives 212 Å³ per cell. Its total magnetization is 0.00 μB/f.u. The energy above the most stable polymorph in this dataset is 500 meV per atom.

---

Below is crystalline BeSiBr2 at its relaxed geometry, with properties calculated at the PBE level.

The structure belongs to space group R3m (No. 160, hexagonal axes); the cell edges are 3.5668, 3.5668 and 25.2022 Å and the angles 90.00°, 90.00° and 120.00°. The inequivalent atoms are Be at (0.0000, 0.0000, 0.0000), Si at (0.0000, 0.0000, 0.7227), Br at (0.0000, 0.0000, 0.2817) and Br at (0.0000, 0.0000, 0.4584).

The calculation puts the density of states at the Fermi level at 0.530 states/eV/atom. For the volume, the calculation gives 278 Å³ per cell. Its total magnetization is 0.00 μB/f.u. The energy above the most stable polymorph in this dataset is 290 meV per atom.

---

Below is crystalline BeSiBr2 at its relaxed geometry, with properties calculated at the PBE level.

The structure belongs to space group Pmmm (No. 47); the cell edges are 3.412, 4.130 and 6.287 Å and the angles 90.00°, 90.00° and 90.00°. The inequivalent atoms are Be at (0.000, 0.000, 0.000), Si at (0.500, 0.000, 0.500), Br at (0.000, 0.500, 0.500) and Br at (0.500, 0.500, 0.000).

The calculation puts the density of states at the Fermi level at 0.451 states/eV/atom. For the volume, the calculation gives 89 Å³ per cell. Its total magnetization is 0.00 μB/f.u. The energy above the most stable polymorph in this dataset is 883 meV per atom.

---

Below is crystalline BeSiBr2 at its relaxed geometry, with properties calculated at the PBE level.

The structure belongs to space group Cmmm (No. 65); the cell edges are 3.194, 6.311 and 12.186 Å and the angles 90.00°, 90.00° and 90.00°. The inequivalent atoms are Be at (0.000, 0.000, 0.000), Si at (0.000, 0.000, 0.500) and Br at (0.000, 0.500, 0.130).

The calculation puts the density of states at the Fermi level at 0.261 states/eV/atom. For the volume, the calculation gives 246 Å³ per cell. Its total magnetization is 0.00 μB/f.u. The energy above the most stable polymorph in this dataset is 481 meV per atom.

---

Below is crystalline BeSiBr2 at its relaxed geometry, with properties calculated at the PBE level.

The structure belongs to space group Cmm2 (No. 35); the cell edges are 3.315, 6.501 and 9.158 Å and the angles 90.00°, 90.00° and 90.00°. The inequivalent atoms are Be at (0.000, 0.000, 0.000), Si at (0.000, 0.500, 0.816), Br at (0.000, 0.000, 0.602) and Br at (0.000, 0.500, 0.160).

The calculation puts the density of states at the Fermi level at 0.076 states/eV/atom. For the volume, the calculation gives 197 Å³ per cell. Its total magnetization is 0.00 μB/f.u. The energy above the most stable polymorph in this dataset is 285 meV per atom.

---

Below is crystalline BeSiBr2 at its relaxed geometry, with properties calculated at the PBE level.

The structure belongs to space group R-3m (No. 166, hexagonal axes); the cell edges are 3.5767, 3.5767 and 36.4695 Å and the angles 90.00°, 90.00° and 120.00°. The inequivalent atoms are Be at (0.0000, 0.0000, 0.0000), Si at (0.0000, 0.0000, 0.5000) and Br at (0.0000, 0.0000, 0.0531).

The calculation puts the density of states at the Fermi level at 0.318 states/eV/atom. For the volume, the calculation gives 404 Å³ per cell. Its total magnetization is 0.00 μB/f.u. The energy above the most stable polymorph in this dataset is 609 meV per atom.

---

Below is crystalline BeSiTeBr2 at its relaxed geometry, with properties calculated at the PBE level.

The structure belongs to space group P4/mmm (No. 123); the cell edges are 4.619, 4.619 and 5.554 Å and the angles 90.00°, 90.00° and 90.00°. The inequivalent atoms are Be at (0.000, 0.000, 0.000), Si at (0.500, 0.500, 0.500), Te at (0.000, 0.000, 0.500) and Br at (0.000, 0.500, 0.000).

The calculation puts the density of states at the Fermi level at 0.035 states/eV/atom. For the volume, the calculation gives 118 Å³ per cell. Its total magnetization is 0.00 μB/f.u. Its energy is -2.933 eV/atom.